Entry 1:
Compound: Lu2MgCd
Source: Alexandria
Functional: GGA-PBE
Structure: optimized geometry

abc: 7.387 7.387 7.387
angles: 90.00 90.00 90.00
Positions (direct):
Lu (0.250, 0.250, 0.250)
Lu (0.250, 0.250, 0.750)
Lu (0.250, 0.750, 0.250)
Lu (0.250, 0.750, 0.750)
Lu (0.750, 0.250, 0.250)
Lu (0.750, 0.250, 0.750)
Lu (0.750, 0.750, 0.250)
Lu (0.750, 0.750, 0.750)
Mg (0.000, 0.000, 0.000)
Mg (0.000, 0.500, 0.500)
Mg (0.500, 0.000, 0.500)
Mg (0.500, 0.500, 0.000)
Cd (0.000, 0.000, 0.500)
Cd (0.000, 0.500, 0.000)
Cd (0.500, 0.000, 0.000)
Cd (0.500, 0.500, 0.500)

## Properties
formation energy from the elements: -0.1711 eV per atom
space-group type: Fm-3m
calculated total energy: -48.944 eV per cell
polymorph energy (0 for the lowest one): 4 meV/atom



Entry 2:
Compound: LuMgCd2
Source: Alexandria
Functional: GGA-PBE
Structure: optimized geometry

abc: 7.126 7.126 7.126
angles: 90.00 90.00 90.00
Positions (direct):
Lu (0.000, 0.000, 0.000)
Lu (0.000, 0.500, 0.500)
Lu (0.500, 0.000, 0.500)
Lu (0.500, 0.500, 0.000)
Mg (0.000, 0.000, 0.500)
Mg (0.000, 0.500, 0.000)
Mg (0.500, 0.000, 0.000)
Mg (0.500, 0.500, 0.500)
Cd (0.250, 0.250, 0.250)
Cd (0.250, 0.250, 0.750)
Cd (0.250, 0.750, 0.250)
Cd (0.250, 0.750, 0.750)
Cd (0.750, 0.250, 0.250)
Cd (0.750, 0.250, 0.750)
Cd (0.750, 0.750, 0.250)
Cd (0.750, 0.750, 0.750)

## Properties
formation energy from the elements: -0.2621 eV per atom
space-group type: Fm-3m
calculated total energy: -35.977 eV per cell
polymorph energy (0 for the lowest one): 0 meV/atom



Entry 3:
Compound: LuMgCd2
Source: Alexandria
Functional: GGA-PBE
Structure: optimized geometry

abc: 4.993 4.993 3.730
angles: 90.00 90.00 90.00
Positions (direct):
Lu (0.000, 0.000, 0.000)
Mg (0.500, 0.500, 0.000)
Cd (0.000, 0.500, 0.500)
Cd (0.500, 0.000, 0.500)

## Properties
formation energy from the elements: -0.2275 eV per atom
space-group type: P4/mmm
calculated total energy: -8.856 eV per cell
polymorph energy (0 for the lowest one): 35 meV/atom



Entry 4:
Compound: LuMg4Cd
Source: Alexandria
Functional: GGA-PBE
Structure: optimized geometry

abc: 5.890 5.890 5.890
angles: 60.00 60.00 60.00
Positions (direct):
Lu (0.000, 0.000, 0.000)
Mg (0.375, 0.375, 0.375)
Mg (0.375, 0.375, 0.876)
Mg (0.375, 0.876, 0.375)
Mg (0.876, 0.375, 0.375)
Cd (0.750, 0.750, 0.750)

## Properties
formation energy from the elements: 0.0432 eV per atom
space-group type: F-43m
calculated total energy: -11.556 eV per cell



Entry 5:
Compound: LuMgCd2
Source: Alexandria
Functional: GGA-PBE
Structure: optimized geometry

abc: 3.489 3.489 7.559
angles: 90.00 90.00 90.00
Positions (direct):
Lu (0.000, 0.000, 0.000)
Mg (0.000, 0.000, 0.500)
Cd (0.500, 0.500, 0.266)
Cd (0.500, 0.500, 0.734)

## Properties
formation energy from the elements: -0.2084 eV per atom
space-group type: P4/mmm
calculated total energy: -8.779 eV per cell
polymorph energy (0 for the lowest one): 54 meV/atom



Entry 6:
Compound: NaLuMgCd
Source: Alexandria
Functional: GGA-PBE
Structure: optimized geometry

abc: 7.273 7.273 7.273
angles: 90.00 90.00 90.00
Positions (direct):
Na (0.000, 0.000, 0.000)
Na (0.000, 0.500, 0.500)
Na (0.500, 0.000, 0.500)
Na (0.500, 0.500, 0.000)
Lu (0.250, 0.250, 0.750)
Lu (0.250, 0.750, 0.250)
Lu (0.750, 0.250, 0.250)
Lu (0.750, 0.750, 0.750)
Mg (0.250, 0.250, 0.250)
Mg (0.250, 0.750, 0.750)
Mg (0.750, 0.250, 0.750)
Mg (0.750, 0.750, 0.250)
Cd (0.000, 0.000, 0.500)
Cd (0.000, 0.500, 0.000)
Cd (0.500, 0.000, 0.000)
Cd (0.500, 0.500, 0.500)

## Properties
formation energy from the elements: 0.0158 eV per atom
space-group type: F-43m
calculated total energy: -33.147 eV per cell



Entry 7:
Compound: NdLuMgCd
Source: Alexandria
Functional: GGA-PBE
Structure: optimized geometry

abc: 7.571 7.571 7.571
angles: 90.00 90.00 90.00
Positions (direct):
Nd (0.000, 0.000, 0.000)
Nd (0.000, 0.500, 0.500)
Nd (0.500, 0.000, 0.500)
Nd (0.500, 0.500, 0.000)
Lu (0.000, 0.000, 0.500)
Lu (0.000, 0.500, 0.000)
Lu (0.500, 0.000, 0.000)
Lu (0.500, 0.500, 0.500)
Mg (0.250, 0.250, 0.750)
Mg (0.250, 0.750, 0.250)
Mg (0.750, 0.250, 0.250)
Mg (0.750, 0.750, 0.750)
Cd (0.250, 0.250, 0.250)
Cd (0.250, 0.750, 0.750)
Cd (0.750, 0.250, 0.750)
Cd (0.750, 0.750, 0.250)

## Properties
formation energy from the elements: -0.1897 eV per atom
space-group type: F-43m
calculated total energy: -50.230 eV per cell



Entry 8:
Compound: LuMgCdNi
Source: Alexandria
Functional: GGA-PBE
Structure: optimized geometry

abc: 6.776 6.776 6.776
angles: 90.00 90.00 90.00
Positions (direct):
Lu (0.000, 0.000, 0.000)
Lu (0.000, 0.500, 0.500)
Lu (0.500, 0.000, 0.500)
Lu (0.500, 0.500, 0.000)
Mg (0.000, 0.000, 0.500)
Mg (0.000, 0.500, 0.000)
Mg (0.500, 0.000, 0.000)
Mg (0.500, 0.500, 0.500)
Cd (0.250, 0.250, 0.250)
Cd (0.250, 0.750, 0.750)
Cd (0.750, 0.250, 0.750)
Cd (0.750, 0.750, 0.250)
Ni (0.250, 0.250, 0.750)
Ni (0.250, 0.750, 0.250)
Ni (0.750, 0.250, 0.250)
Ni (0.750, 0.750, 0.750)

## Properties
formation energy from the elements: -0.1963 eV per atom
space-group type: F-43m
calculated total energy: -54.389 eV per cell